1.
MoRuBr2, relaxed, DFT GGA-PBEsol; uncorrected formation energy = 0.65 eV/atom; total energy = -23.08 eV for the cell shown; mass density = 8451 kg/m³; SG = R-3m, No. 166
1.0
3.0984 0.0000 0.0000
1.5492 2.6833 0.0000
1.5492 0.8944 8.4328
Ru Mo Br
1 1 2
direct
0.0000 0.0000 0.0000
0.5000 0.5000 0.5000
0.9067 0.9067 0.2798
0.0933 0.0933 0.7202

2.
MoRuBr2, relaxed, DFT GGA-PBEsol; uncorrected formation energy = 0.91 eV/atom; total energy = -22.05 eV for the cell shown; mass density = 9394 kg/m³; SG = Fm-3m, No. 225
1.0
4.4680 0.0000 0.0000
2.2340 3.8694 0.0000
2.2340 1.2898 3.6481
Ru Mo Br
1 1 2
direct
0.0000 0.0000 0.0000
0.5000 0.5000 0.5000
0.2500 0.2500 0.2500
0.7500 0.7500 0.7500

3.
MoRuBr, relaxed, DFT GGA-PBEsol; uncorrected formation energy = 0.36 eV/atom; total energy = -22.72 eV for the cell shown; mass density = 9793 kg/m³; SG = I4mm, No. 107
1.0
2.9596 0.0000 0.0000
0.0000 2.9596 0.0000
-1.4798 -1.4798 5.3607
Ru Mo Br
1 1 1
direct
0.3193 0.3193 0.6387
0.6739 0.6739 0.3478
0.0068 0.0068 0.0136

> The lowest uncorrected formation energy belongs to which entry?

MoRuBr

> Among the records above, which one has the highest uncorrected formation energy?

number 2

> What is the formula in the second record?

MoRuBr2

> What is the uncorrected formation energy in the second record?

0.91 eV/atom